Record 1
# DyPuHgRu

Crystalline DyPuHgRu at its relaxed geometry (PBE, Alexandria).

```
DyPuHgRu
1.0
5.041 0.000 0.000
2.521 4.366 0.000
2.521 1.455 4.116
Ru Pu Hg Dy
1 1 1 1
direct
0.750 0.750 0.750
0.000 0.000 0.000
0.250 0.250 0.250
0.500 0.500 0.500
```

Computed properties:
**Formation energy**: -0.13 eV per atom
**E above lowest polymorph**: 163 meV per atom

Record 2
# MnIn

Crystalline MnIn at its relaxed geometry (PBE, Alexandria).

```
MnIn
1.0
7.699 0.000 0.000
0.000 7.699 0.000
0.000 0.000 4.591
In Mn
8 8
direct
0.000 0.718 0.500
0.782 0.500 0.000
0.500 0.218 0.000
0.218 0.500 0.000
0.718 0.000 0.500
0.282 0.000 0.500
0.500 0.782 0.000
0.000 0.282 0.500
0.144 0.856 0.000
0.356 0.356 0.500
0.144 0.144 0.000
0.644 0.356 0.500
0.856 0.144 0.000
0.644 0.644 0.500
0.856 0.856 0.000
0.356 0.644 0.500
```

Computed properties:
**Formation energy**: 0.37 eV per atom

Record 3
# MgAsOs

Crystalline MgAsOs at its relaxed geometry (PBE, Alexandria).

```
MgAsOs
1.0
-2.706 1.601 -2.803
1.248 -4.009 -0.330
-2.508 -0.936 1.886
As Os Mg
1 1 1
direct
0.000 0.000 0.834
0.333 0.667 0.833
0.667 0.333 0.333
```

Computed properties:
**Formation energy**: 0.03 eV per atom

Record 4
# AlNiSb2

Crystalline AlNiSb2 at its relaxed geometry (PBE, Alexandria).

```
AlNiSb2
1.0
-0.856 -4.896 -1.339
4.374 -1.002 -2.522
-1.238 1.380 4.802
Ni Sb Al
1 2 1
direct
0.750 0.250 0.500
0.976 0.976 0.000
0.524 0.524 0.000
0.250 0.750 0.500
```

Computed properties:
**E**: -4.210 eV/atom

Record 5
# PuHBr

Crystalline PuHBr at its relaxed geometry (PBE, Alexandria).

```
PuHBr
1.0
-4.374 -0.104 0.790
-0.658 -0.694 -3.734
0.511 -2.935 2.445
H Pu Br
1 1 1
direct
0.167 0.333 0.667
0.166 0.000 0.000
0.666 0.667 0.333
```

Computed properties:
**E**: -7.296 eV/atom

Record 6
# Y2TmAu

Crystalline Y2TmAu at its relaxed geometry (PBE, Alexandria).

```
Y2TmAu
1.0
3.617 0.000 0.000
0.000 3.617 0.000
0.000 0.000 8.429
Y Au Tm
2 1 1
direct
0.000 0.000 0.790
0.000 0.000 0.210
0.500 0.500 0.000
0.500 0.500 0.500
```

Computed properties:
**Formation energy**: -0.38 eV per atom
**E above lowest polymorph**: 79 meV per atom

Record 7
# BaBr

Crystalline BaBr at its relaxed geometry (PBE, Alexandria).

```
BaBr
1.0
10.991 1.261 0.788
9.355 5.905 0.788
9.355 3.295 4.963
Br Ba
2 2
direct
0.390 0.390 0.390
0.610 0.610 0.610
0.105 0.105 0.105
0.895 0.895 0.895
```

Computed properties:
**E**: -3.261 eV/atom

Record 8
# CuHg2As

Crystalline CuHg2As at its relaxed geometry (PBE, Alexandria).

```
CuHg2As
1.0
4.782 0.000 0.000
0.000 4.736 0.016
0.000 2.277 4.154
As Hg Cu
1 2 1
direct
0.000 0.609 0.609
0.000 0.952 0.951
0.500 0.297 0.297
0.500 0.642 0.643
```

Computed properties:
**Formation energy**: 0.15 eV per atom

Record 9
# YPaRh2

Crystalline YPaRh2 at its relaxed geometry (PBE, Alexandria).

```
YPaRh2
1.0
3.834 0.000 0.000
1.917 3.320 0.000
1.917 1.107 7.094
Rh Y Pa
2 1 1
direct
0.258 0.258 0.227
0.076 0.076 0.771
0.498 0.498 0.507
0.668 0.668 0.995
```

Computed properties:
**Formation energy**: -0.73 eV per atom
**E above lowest polymorph**: 136 meV per atom

Record 10
# ScTi2Ni

Crystalline ScTi2Ni at its relaxed geometry (PBE, Alexandria).

```
ScTi2Ni
1.0
3.071 0.000 0.000
0.000 3.071 0.000
0.000 0.000 7.180
Ti Ni Sc
2 1 1
direct
0.000 0.000 0.796
0.000 0.000 0.204
0.500 0.500 0.000
0.500 0.500 0.500
```

Computed properties:
**Formation energy**: -0.07 eV per atom
**E above lowest polymorph**: 0 meV per atom

Record 11
# NbFe2Pd8

Crystalline NbFe2Pd8 at its relaxed geometry (PBE, Alexandria).

```
NbFe2Pd8
1.0
3.957 0.000 0.000
0.000 6.225 0.318
-1.979 -2.384 6.598
Pd Nb Fe
8 1 2
direct
0.600 0.455 0.201
0.859 0.807 0.718
0.400 0.545 0.799
0.682 0.917 0.364
0.141 0.193 0.282
0.318 0.083 0.636
0.955 0.269 0.911
0.045 0.731 0.089
0.500 0.000 0.000
0.223 0.643 0.446
0.777 0.357 0.554
```

Computed properties:
**Formation energy**: -0.20 eV per atom

Record 12
# PmBeIr2

Crystalline PmBeIr2 at its relaxed geometry (PBE, Alexandria).

```
PmBeIr2
1.0
4.239 0.000 0.000
2.119 3.671 0.000
2.119 1.224 5.039
Ir Pm Be
2 1 1
direct
0.811 0.811 0.566
0.189 0.189 0.434
0.000 0.000 0.000
0.500 0.500 0.500
```

Computed properties:
**Formation energy**: -0.37 eV per atom

Record 13
# MgCuW2

Crystalline MgCuW2 at its relaxed geometry (PBE, Alexandria).

```
MgCuW2
1.0
-4.345 -2.553 -0.352
0.481 -4.248 -2.690
1.760 2.336 4.118
W Cu Mg
2 1 1
direct
0.986 0.986 0.000
0.752 0.252 0.500
0.499 0.499 0.000
0.263 0.763 0.500
```

Computed properties:
**Formation energy**: 0.47 eV per atom

Record 14
# ZnSe5

Crystalline ZnSe5 at its relaxed geometry (PBE, Alexandria).

```
ZnSe5
1.0
-6.378 3.200 0.653
1.561 -5.731 4.009
1.335 2.142 2.542
Zn Se
1 5
direct
0.000 0.000 0.000
0.667 0.333 0.000
0.333 0.667 0.000
0.000 0.500 0.500
0.500 0.500 0.500
0.500 0.000 0.500
```

Computed properties:
**E**: -2.697 eV/atom

Record 15
# Cs2IrOsBr6

Crystalline Cs2IrOsBr6 at its relaxed geometry (PBE, Alexandria).

```
Cs2IrOsBr6
1.0
7.488 0.000 0.000
0.000 7.488 0.000
3.744 3.744 5.278
Br Cs Os Ir
6 2 1 1
direct
0.251 0.749 0.000
0.749 0.749 0.000
0.749 0.251 0.000
0.251 0.251 0.000
0.251 0.251 0.498
0.749 0.749 0.502
0.250 0.750 0.500
0.750 0.250 0.500
0.500 0.500 0.000
0.000 0.000 0.000
```

Computed properties:
**E**: -3.582 eV/atom

Record 16
# KTm2P2N6

Crystalline KTm2P2N6 at its relaxed geometry (PBE, Alexandria).

```
KTm2P2N6
1.0
6.213 -0.001 0.004
3.100 5.609 -0.075
0.003 -3.205 5.430
N P Tm K
6 2 2 1
direct
0.007 0.405 0.169
0.065 0.871 0.631
0.993 0.595 0.831
0.412 0.596 0.832
0.588 0.404 0.168
0.935 0.129 0.369
0.844 0.312 0.247
0.156 0.688 0.753
0.175 0.649 0.196
0.825 0.351 0.804
0.500 0.000 0.500
```

Computed properties:
**E**: -7.193 eV/atom

Record 17
# Ac2NdGe2Pd7

Crystalline Ac2NdGe2Pd7 at its relaxed geometry (PBE, Alexandria).

```
Ac2NdGe2Pd7
1.0
-0.348 3.990 -1.511
-1.818 -1.460 -3.589
-13.232 1.913 4.344
Pd Ge Nd Ac
7 2 1 2
direct
0.616 0.616 0.575
0.048 0.546 0.849
0.546 0.048 0.849
0.384 0.384 0.425
0.454 0.952 0.151
0.952 0.454 0.151
0.500 0.500 0.000
0.423 0.423 0.243
0.577 0.577 0.757
0.000 0.000 0.000
0.102 0.102 0.648
0.898 0.898 0.352
```

Computed properties:
**Formation energy**: -0.80 eV per atom

Record 18
# MnTl3Ag2Br9

Crystalline MnTl3Ag2Br9 at its relaxed geometry (PBE, Alexandria).

```
MnTl3Ag2Br9
1.0
-5.705 2.803 4.228
-1.529 -3.728 -6.484
-0.439 -7.925 4.660
Br Tl Ag Mn
9 3 2 1
direct
0.500 0.500 0.000
0.311 0.155 0.660
0.500 0.000 0.000
0.155 0.311 0.340
0.000 0.500 0.000
0.845 0.689 0.660
0.845 0.155 0.660
0.689 0.845 0.340
0.155 0.845 0.340
0.667 0.333 0.282
0.000 0.000 0.000
0.333 0.667 0.718
0.333 0.667 0.178
0.667 0.333 0.822
0.000 0.000 0.500
```

Computed properties:
**E**: -3.062 eV/atom

Record 19
# K2CoPt

Crystalline K2CoPt at its relaxed geometry (PBE, Alexandria).

```
K2CoPt
1.0
12.054 0.000 0.000
0.000 12.054 0.000
6.027 6.027 2.327
K Pt Co
4 2 2
direct
0.329 0.625 0.250
0.875 0.671 0.750
0.375 0.579 0.750
0.421 0.125 0.250
0.000 0.000 0.000
0.750 0.250 0.500
0.500 0.500 0.000
0.250 0.750 0.500
```

Computed properties:
**Formation energy**: 0.55 eV per atom
**E above lowest polymorph**: 366 meV per atom

Record 20
# ReNi2As

Crystalline ReNi2As at its relaxed geometry (PBE, Alexandria).

```
ReNi2As
1.0
-2.019 -2.106 -0.841
1.506 -2.087 1.614
-3.113 1.203 4.461
As Re Ni
1 1 2
direct
0.500 0.500 0.773
0.000 0.000 0.491
0.500 0.500 0.232
0.000 0.000 0.004
```

Computed properties:
**Formation energy**: 0.13 eV per atom

Record 21
# SrOsW2

Crystalline SrOsW2 at its relaxed geometry (PBE, Alexandria).

```
SrOsW2
1.0
2.671 0.000 0.000
0.000 5.320 -0.058
0.000 3.722 5.205
W Os Sr
2 1 1
direct
0.000 0.000 0.000
0.500 0.500 0.000
0.500 0.500 0.500
0.000 0.000 0.500
```

Computed properties:
**Formation energy**: 1.22 eV per atom
**E above lowest polymorph**: 537 meV per atom

Record 22
# TaSbRu2

Crystalline TaSbRu2 at its relaxed geometry (PBE, Alexandria).

```
TaSbRu2
1.0
4.559 0.000 0.000
2.280 3.949 0.000
2.280 1.316 3.723
Ta Sb Ru
1 1 2
direct
0.750 0.750 0.750
0.500 0.500 0.500
0.250 0.250 0.250
0.000 0.000 0.000
```

Computed properties:
**E**: -8.371 eV/atom

Record 23
# CaYPb2

Crystalline CaYPb2 at its relaxed geometry (PBE, Alexandria).

```
CaYPb2
1.0
3.882 0.007 0.000
-0.010 3.882 0.000
0.000 0.000 8.529
Ca Pb Y
1 2 1
direct
0.500 0.500 0.774
0.500 0.500 0.243
0.000 0.000 0.022
0.000 0.000 0.461
```

Computed properties:
**Formation energy**: -0.14 eV per atom

Record 24
# ZrFeMo

Crystalline ZrFeMo at its relaxed geometry (PBE, Alexandria).

```
ZrFeMo
1.0
-4.386 0.780 -0.417
2.451 -0.982 -3.612
-0.526 -2.749 0.391
Fe Zr Mo
1 1 1
direct
0.000 0.000 0.030
0.333 0.667 0.670
0.667 0.333 0.300
```

Computed properties:
**Formation energy**: 0.23 eV per atom
**E above lowest polymorph**: 375 meV per atom

Record 25
# Ba3NbCu2S6

Crystalline Ba3NbCu2S6 at its relaxed geometry (PBE, Alexandria).

```
Ba3NbCu2S6
1.0
7.166 0.000 0.000
-3.583 6.206 0.000
0.000 0.000 7.836
S Ba Nb Cu
6 3 1 2
direct
0.319 0.160 0.695
0.160 0.840 0.305
0.160 0.319 0.305
0.840 0.681 0.695
0.681 0.840 0.305
0.840 0.160 0.695
0.000 0.000 0.000
0.333 0.667 0.648
0.667 0.333 0.352
0.000 0.000 0.500
0.667 0.333 0.740
0.333 0.667 0.260
```

Computed properties:
**E**: -5.220 eV/atom

Record 26
# CsRbPb4

Crystalline CsRbPb4 at its relaxed geometry (PBE, Alexandria).

```
CsRbPb4
1.0
5.609 -0.244 -0.048
-0.142 4.880 2.783
-0.173 -1.235 7.836
Pb Cs Rb
4 1 1
direct
0.001 0.810 0.878
0.501 0.309 0.880
0.501 0.694 0.111
0.001 0.193 0.113
0.501 0.002 0.496
0.001 0.502 0.495
```

Computed properties:
**Formation energy**: -0.10 eV per atom
**E above lowest polymorph**: 0 meV per atom

Record 27
# Tc2AuBr

Crystalline Tc2AuBr at its relaxed geometry (PBE, Alexandria).

```
Tc2AuBr
1.0
-2.022 -1.837 0.971
-0.627 -1.817 -4.742
3.349 -3.260 0.806
Br Tc Au
1 2 1
direct
0.000 0.500 0.500
0.500 0.500 0.000
0.000 0.000 0.000
0.500 0.000 0.500
```

Computed properties:
**E above lowest polymorph**: 768 meV per atom